In5Sn2Hg12 | PBE | optimized geometry

## Properties
DFT total energy: -0.0933 Ry/atom
E_form: 0.064 eV/atom
Relative energy among the computed polymorphs: 2.95 kJ per mole of atoms
Magnetization: 0.0 Bohr magnetons per cell

The structure in POSCAR format:
```
In5Sn2Hg12
1.0
6.8973 0.0000 0.0000
-3.4486 8.1786 0.4168
0.0000 -2.3980 9.8205
In Sn Hg
5 2 12
Direct
0.3081 0.6162 0.6757
0.3499 0.6998 0.1602
0.0000 0.0000 0.5000
0.6501 0.3002 0.8398
0.6919 0.3838 0.3243
0.7146 0.0000 0.0000
0.2854 0.0000 0.0000
0.9957 0.9914 0.2188
0.0372 0.6309 0.9055
0.5937 0.6309 0.9055
0.0959 0.6818 0.4244
0.5859 0.6818 0.4244
0.4853 0.9706 0.6520
0.5147 0.0294 0.3480
0.9041 0.3182 0.5756
0.4141 0.3182 0.5756
0.9628 0.3691 0.0945
0.4063 0.3691 0.0945
0.0043 0.0086 0.7812
```

InSnHg | PBE | optimized geometry

## Properties
DFT total energy: -0.1695 Ry/atom
E_form: 0.042 eV/atom
Relative energy among the computed polymorphs: 1.47 kJ per mole of atoms
Magnetization: 0.0 Bohr magnetons per cell

The structure in POSCAR format:
```
InSnHg
1.0
3.4504 0.0000 0.0000
0.0000 3.4504 0.0000
-1.7252 -1.7252 6.6578
In Hg Sn
1 1 1
Direct
0.0027 0.0027 0.0053
0.6657 0.6657 0.3314
0.3316 0.3316 0.6632
```

InSnHg2 | PBE | optimized geometry

## Properties
DFT total energy: -0.1305 Ry/atom
E_form: 0.060 eV/atom
Magnetization: 0.0 Bohr magnetons per cell

The structure in POSCAR format:
```
InSnHg2
1.0
0.4987 4.7875 4.7090
-3.6145 -5.4594 -1.5728
2.5549 -5.9272 -1.9195
In Sn Hg
1 1 2
Direct
0.0000 0.0000 0.0000
0.0000 0.5000 0.5000
0.0000 0.2497 0.2497
0.0000 0.7503 0.7503
```

Which formula does entry 3 have? InSnHg2

Which value of E_form does entry 2 give? 0.042 eV/atom